First-principles (PBE) data for a geometry-optimized YPuBiO2 structure, as listed in the Alexandria database.

Calculated values
ΔE_f (raw) = -2408.5 meV/atom
Space-group type = I4mm (107)
Spin magnetization = 0.946 μB/atom
Fermi-level density of states = 10.0 states/eV per cell
Volume = 20.48 Å³/atom

a b c (Å): 7.211 7.211 7.211
angles (deg): 148.44 148.44 45.23
Fractional positions:
Y 0.000 0.000 0.000
Pu 0.674 0.674 0.000
Bi 0.335 0.335 0.000
O 0.084 0.584 0.500
O 0.584 0.084 0.500